A plane-wave DFT calculation with GGA-PBE was carried out for an optimized crystal structure of Re2HgSe.

The energy relative to the lowest polymorph listed for this composition is 2.78 eV/f.u. The density of states at the Fermi level comes out at 2.93 states/eV/f.u.

The structure belongs to space group Cmmm (No. 65); the cell edges are 2.958, 5.122 and 9.070 Å and the angles 90.00°, 90.00° and 90.00°. The distinct sites, in fractional coordinates, are Re at (0.000, 0.000, 0.225), Hg at (0.000, 0.500, 0.500) and Se at (0.000, 0.500, 0.000).

---

A plane-wave DFT calculation with GGA-PBE was carried out for an optimized crystal structure of CsS3Cl.

The energy relative to the lowest polymorph listed for this composition is 5.11 eV/f.u. The density of states at the Fermi level comes out at 5.43 states/eV/f.u.

The structure belongs to space group Pm-3m (No. 221); the cell edges are 5.053, 5.053 and 5.053 Å and the angles 90.00°, 90.00° and 90.00°. The distinct sites, in fractional coordinates, are Cs at (0.000, 0.000, 0.000), S at (0.000, 0.500, 0.500) and Cl at (0.500, 0.500, 0.500).

---

A plane-wave DFT calculation with GGA-PBE was carried out for an optimized crystal structure of Tb3PrTh.

The energy relative to the lowest polymorph listed for this composition is 0.72 eV/f.u. The density of states at the Fermi level comes out at 6.30 states/eV/f.u.

The structure belongs to space group Cmmm (No. 65); the cell edges are 5.370, 11.335 and 11.068 Å and the angles 90.00°, 90.00° and 90.00°. The distinct sites, in fractional coordinates, are Tb at (0.000, 0.000, 0.176), Tb at (0.000, 0.349, 0.308), Pr at (0.000, 0.346, 0.000) and Th at (0.000, 0.135, 0.500).

---

A plane-wave DFT calculation with GGA-PBE was carried out for an optimized crystal structure of AcCe2Al2Si2.

The calculation puts the total energy at -5.2654 eV/atom. The density of states at the Fermi level comes out at 11.00 states/eV/f.u.

The structure belongs to space group R-3m (No. 166, hexagonal axes); the cell edges are 4.3449, 4.3449 and 29.6182 Å and the angles 90.00°, 90.00° and 120.00°. The distinct sites, in fractional coordinates, are Ac at (0.0000, 0.0000, 0.0000), Ce at (0.0000, 0.0000, 0.1399), Al at (0.0000, 0.0000, 0.4116) and Si at (0.0000, 0.0000, 0.2562).

---

A plane-wave DFT calculation with GGA-PBE was carried out for an optimized crystal structure of Dy4SeS5.

The energy relative to the lowest polymorph listed for this composition is 0.00 eV/f.u.

The structure belongs to space group Immm (No. 71); the cell edges are 4.073, 7.565 and 16.205 Å and the angles 90.00°, 90.00° and 90.00°. The distinct sites, in fractional coordinates, are Dy at (0.000, 0.000, 0.213), Dy at (0.000, 0.253, 0.500), Se at (0.000, 0.500, 0.000), S at (0.000, 0.000, 0.000) and S at (0.000, 0.268, 0.334).

---

A plane-wave DFT calculation with GGA-PBE was carried out for an optimized crystal structure of KNpCu2O8.

The calculation puts the total energy at -6.2072 eV/atom. The density of states at the Fermi level comes out at 11.12 states/eV/f.u.

The structure belongs to space group I-4m2 (No. 119); the cell edges are 6.571, 6.571 and 7.996 Å and the angles 90.00°, 90.00° and 90.00°. The distinct sites, in fractional coordinates, are K at (0.000, 0.000, 0.000), Np at (0.000, 0.500, 0.750), Cu at (0.000, 0.000, 0.500), Cu at (0.000, 0.500, 0.250), O at (0.000, 0.208, 0.691) and O at (0.000, 0.388, 0.029).